A plane-wave DFT calculation with PBE-GGA was carried out for a geometry-optimized DyYZn10 structure.

POSCAR file:
```
DyYZn10
1.0
-2.7136 -2.5614 1.9537
0.7139 -3.6547 -3.8001
6.9039 -3.6485 4.8059
Dy Y Zn
1 1 10
direct
0.0000 0.5000 0.5000 Dy
0.0000 0.0000 0.0000 Y
0.0000 0.0000 0.3344 Zn
0.0000 0.5000 0.8337 Zn
0.0000 0.5000 0.1663 Zn
0.0000 0.0000 0.6656 Zn
0.5000 0.0000 0.5000 Zn
0.5000 0.5000 0.0000 Zn
0.5000 0.2503 0.2506 Zn
0.5000 0.7497 0.7494 Zn
0.5000 0.7497 0.2506 Zn
0.5000 0.2503 0.7494 Zn
```

Its formation energy is -0.282 eV/atom. Its crystal system is orthorhombic. For the density of states at the Fermi level, the calculation gives 0.445 states/eV/atom.